# 1
Computed, not measured: CsRb3 at its PBEsol-relaxed geometry at the meta-GGA SCAN level of DFT.

Cell and atoms, written as extended XYZ:
```
4
Lattice="7.114 0.000 0.000 0.000 7.114 0.000 0.000 0.000 7.114" Properties=species:S:1:pos:R:3 pbc="T T T"
Cs 0.000 0.000 0.000
Rb 0.000 3.557 3.557
Rb 3.557 0.000 3.557
Rb 3.557 3.557 0.000
```

Results
Formation energy = 0.011 eV per formula unit
Symmetry = No. 221

***

# 2
Computed, not measured: TlNiOs2 at its PBEsol-relaxed geometry at the meta-GGA SCAN level of DFT.

Cell and atoms, written as extended XYZ:
```
4
Lattice="3.790 0.000 0.000 0.000 3.790 0.000 0.000 0.000 4.156" Properties=species:S:1:pos:R:3 pbc="T T T"
Tl 0.000 0.000 0.000
Ni 1.895 1.895 0.000
Os 0.000 1.895 2.078
Os 1.895 0.000 2.078
```

Results
Formation energy = 3.894 eV per formula unit
Energy above the most stable polymorph in this dataset = 112 meV/atom
Symmetry = No. 123

***

# 3
Computed, not measured: ZrSiMo2 at its PBEsol-relaxed geometry at the meta-GGA SCAN level of DFT.

Cell and atoms, written as extended XYZ:
```
4
Lattice="2.750 -4.463 0.000 2.750 4.463 0.000 -1.049 0.000 2.592" Properties=species:S:1:pos:R:3 pbc="T T T"
Zr 0.000 0.000 0.000
Si 2.750 0.000 0.000
Mo 0.850 2.232 1.296
Mo 0.850 -2.232 1.296
```

Results
E_form (uncorrected) = -0.028 eV/atom
Symmetry = No. 12

***

# 4
Computed, not measured: RbBiAsPt2 at its PBEsol-relaxed geometry at the meta-GGA SCAN level of DFT.

Cell and atoms, written as extended XYZ:
```
5
Lattice="4.954 0.000 0.000 0.000 4.954 0.000 0.000 0.000 5.420" Properties=species:S:1:pos:R:3 pbc="T T T"
Rb 0.000 0.000 0.000
Bi 2.477 2.477 2.710
As 0.000 0.000 2.710
Pt 0.000 2.477 0.000
Pt 2.477 0.000 0.000
```

Results
Formation energy = 10.025 eV per formula unit
Symmetry = No. 123

***

Total moment values, unit μB per formula unit, following the record order: 0.000 0.001 0.000 0.000.
Total DFT energy (no corrections) values, unit eV per atom, following the record order: -25.00 -57.10 -27.65 -49.97.